Entry 1:
# PBE HfThTcGe2, optimized geometry
# E_tot, eV per atom: -8.013
# Energy of formation, eV/atom: -0.618
data_HfThTcGe2
_cell_length_a 4.146
_cell_length_b 4.146
_cell_length_c 11.781
_cell_angle_alpha 90.00
_cell_angle_beta 90.00
_cell_angle_gamma 90.00
_symmetry_space_group_name_H-M 'I -4 m 2'
_symmetry_Int_Tables_number 119
_symmetry_space_group_name_Hall 'I -4 -2'
loop_
_atom_site_label
_atom_site_type_symbol
_atom_site_fract_x
_atom_site_fract_y
_atom_site_fract_z
_atom_site_occupancy
Hf1 Hf 0.000 0.000 0.000 1
Th1 Th 0.000 0.500 0.750 1
Tc1 Tc 0.000 0.000 0.500 1
Ge1 Ge 0.000 0.500 0.142 1

***

Entry 2:
# PBE HfZnTc2Ge, optimized geometry
# E_tot, eV per atom: -6.144
# Energy of formation, eV/atom: 1.171
data_HfZnTc2Ge
_cell_length_a 4.542
_cell_length_b 4.542
_cell_length_c 4.737
_cell_angle_alpha 90.00
_cell_angle_beta 90.00
_cell_angle_gamma 90.00
_symmetry_space_group_name_H-M 'P 4/m m m'
_symmetry_Int_Tables_number 123
_symmetry_space_group_name_Hall '-P 4 2'
loop_
_atom_site_label
_atom_site_type_symbol
_atom_site_fract_x
_atom_site_fract_y
_atom_site_fract_z
_atom_site_occupancy
Hf1 Hf 0.000 0.000 0.000 1
Zn1 Zn 0.000 0.000 0.500 1
Tc1 Tc 0.000 0.500 0.500 1
Ge1 Ge 0.500 0.500 0.000 1

***

Entry 3:
# PBE HfZrTcGe2, optimized geometry
# E_tot, eV per atom: -6.308
# Energy of formation, eV/atom: 1.313
data_HfZrTcGe2
_cell_length_a 5.017
_cell_length_b 5.017
_cell_length_c 5.151
_cell_angle_alpha 90.00
_cell_angle_beta 90.00
_cell_angle_gamma 90.00
_symmetry_space_group_name_H-M 'P 4/m m m'
_symmetry_Int_Tables_number 123
_symmetry_space_group_name_Hall '-P 4 2'
loop_
_atom_site_label
_atom_site_type_symbol
_atom_site_fract_x
_atom_site_fract_y
_atom_site_fract_z
_atom_site_occupancy
Hf1 Hf 0.000 0.000 0.000 1
Zr1 Zr 0.000 0.000 0.500 1
Tc1 Tc 0.500 0.500 0.500 1
Ge1 Ge 0.000 0.500 0.000 1

***

Entry 4:
# PBE Hf2GeTe, optimized geometry
# Relative energy among the computed polymorphs, meV/atom: 784
# E_tot, eV per atom: -6.783
# Formation energy without anion corrections, eV/atom: 0.13
data_Hf2GeTe
_cell_length_a 6.205
_cell_length_b 6.205
_cell_length_c 12.609
_cell_angle_alpha 90.00
_cell_angle_beta 90.00
_cell_angle_gamma 90.00
_symmetry_space_group_name_H-M 'I -4 2 d'
_symmetry_Int_Tables_number 122
_symmetry_space_group_name_Hall 'I -4 2bw'
loop_
_atom_site_label
_atom_site_type_symbol
_atom_site_fract_x
_atom_site_fract_y
_atom_site_fract_z
_atom_site_occupancy
Hf1 Hf 0.212 0.250 0.125 1
Ge1 Ge 0.000 0.000 0.000 1
Te1 Te 0.000 0.000 0.500 1

***

Fermi-level density of states across the listed records, respectively: 2.85, 4.64, 4.07, 3.03 states/eV/f.u..